First-principles (PBE) data for crystalline CuHgSBr at its relaxed geometry, as listed in Alexandria.

```
16
Lattice="10.102 0.000 0.000 0.000 4.107 0.000 0.000 0.000 9.626" Properties=species:S:1:pos:R:3 pbc="T T T"
Cu 0.811 0.000 2.048
Cu 4.240 0.000 2.048
Cu 5.862 0.000 7.578
Cu 9.291 0.000 7.578
Hg 0.000 2.054 4.813
Hg 2.526 2.054 7.542
Hg 5.051 2.054 4.813
Hg 7.577 2.054 2.084
S 0.094 2.054 7.251
S 4.957 2.054 7.251
S 5.146 2.054 2.375
S 10.008 2.054 2.375
Br 2.526 0.000 0.266
Br 2.526 0.000 4.216
Br 7.577 0.000 5.410
Br 7.577 0.000 9.360
```

## Properties
Offset from the most stable computed form (eV/f.u.): 0.020
DFT total energy (eV/atom): -2.823
Uncorrected formation energy (eV per atom): -0.27
Density of states at the Fermi level (states/eV/f.u.): 0.02

---

First-principles (PBE) data for crystalline NbGe2TeBr at its relaxed geometry, as listed in Alexandria.

```
5
Lattice="5.275 0.000 0.000 0.000 5.275 0.000 0.000 0.000 5.327" Properties=species:S:1:pos:R:3 pbc="T T T"
Nb 0.000 0.000 0.000
Ge 0.000 2.638 2.664
Ge 2.638 0.000 2.664
Te 2.638 2.638 2.664
Br 2.638 2.638 0.000
```

## Properties
DFT total energy (eV/atom): -3.302
Uncorrected formation energy (eV per atom): 1.52
Density of states at the Fermi level (states/eV/f.u.): 7.65

---

First-principles (PBE) data for crystalline Ac3AsS6 at its relaxed geometry, as listed in Alexandria.

```
20
Lattice="5.713 -7.108 0.000 5.713 7.108 0.000 0.000 0.000 7.425" Properties=species:S:1:pos:R:3 pbc="T T T"
Ac 5.713 5.627 3.712
Ac 3.551 1.470 3.336
Ac 3.551 -1.470 7.048
Ac 7.876 1.470 3.336
Ac 7.876 -1.470 7.048
Ac 5.713 -5.627 0.000
As 5.713 2.614 6.492
As 5.713 -2.614 2.780
S 3.932 3.650 5.465
S 1.841 0.230 5.385
S 1.841 -0.230 1.673
S 5.713 3.076 2.208
S 7.495 3.650 5.465
S 5.713 0.502 5.385
S 5.713 -0.502 1.673
S 3.932 -3.650 1.753
S 5.713 -3.076 5.920
S 9.585 0.230 5.385
S 9.585 -0.230 1.673
S 7.495 -3.650 1.753
```

## Properties
DFT total energy (eV/atom): -5.842
Uncorrected formation energy (eV per atom): -1.67
Density of states at the Fermi level (states/eV/f.u.): 0.00

---

First-principles (PBE) data for crystalline Ba6NpO8 at its relaxed geometry, as listed in Alexandria.

```
15
Lattice="0.000 5.512 5.512 5.512 0.000 5.512 5.512 5.512 0.000" Properties=species:S:1:pos:R:3 pbc="T T T"
Ba 2.756 2.756 0.000
Ba 2.756 0.000 2.756
Ba 5.512 2.756 2.756
Ba 0.000 2.756 2.756
Ba 2.756 5.512 2.756
Ba 2.756 2.756 5.512
Np 0.000 0.000 0.000
O 5.512 5.512 2.234
O 5.512 2.234 5.512
O 8.791 5.512 5.512
O 2.756 2.756 2.756
O 8.269 8.269 8.269
O 2.234 5.512 5.512
O 5.512 8.791 5.512
O 5.512 5.512 8.791
```

## Properties
DFT total energy (eV/atom): -6.897
Uncorrected formation energy (eV per atom): -2.62
Density of states at the Fermi level (states/eV/f.u.): 12.82

---

First-principles (PBE) data for crystalline ScMn2Se at its relaxed geometry, as listed in Alexandria.

```
4
Lattice="-1.949 1.949 4.155 1.949 -1.949 4.155 1.949 1.949 -4.155" Properties=species:S:1:pos:R:3 pbc="T T T"
Sc 0.000 0.000 0.000
Mn 0.000 0.000 4.155
Mn 0.000 1.949 2.078
Se 1.949 0.000 2.078
```

## Properties
DFT total energy (eV/atom): -7.113
Uncorrected formation energy (eV per atom): -0.07
Density of states at the Fermi level (states/eV/f.u.): 3.78

---

First-principles (PBE) data for crystalline HfTi2Ru2 at its relaxed geometry, as listed in Alexandria.

```
10
Lattice="7.513 0.000 0.000 0.000 7.513 0.000 0.000 0.000 2.904" Properties=species:S:1:pos:R:3 pbc="T T T"
Hf 0.000 0.000 0.000
Hf 3.756 3.756 0.000
Ti 1.026 2.730 0.000
Ti 2.730 6.486 0.000
Ti 4.783 1.026 0.000
Ti 6.486 4.783 0.000
Ru 1.225 4.982 1.452
Ru 2.531 1.225 1.452
Ru 4.982 6.287 1.452
Ru 6.287 2.531 1.452
```

## Properties
Offset from the most stable computed form (eV/f.u.): 0.403
DFT formation energy (kcal/mol of atoms): -6.718
DFT total energy (eV/atom): -9.150
Density of states at the Fermi level (states/eV/f.u.): 6.74

---

First-principles (PBE) data for crystalline GaB2Os at its relaxed geometry, as listed in Alexandria.

```
8
Lattice="-2.449 2.449 4.816 2.449 -2.449 4.816 2.449 2.449 -4.816" Properties=species:S:1:pos:R:3 pbc="T T T"
Ga 0.000 0.000 0.000
Ga 0.000 2.449 2.408
B 1.224 -1.038 3.612
B 1.411 1.224 1.204
B 1.224 3.487 -1.204
B 1.038 1.224 6.020
Os 2.449 0.000 2.408
Os 0.000 0.000 4.816
```

## Properties
DFT formation energy (kcal/mol of atoms): 14.036
DFT total energy (eV/atom): -6.294
Density of states at the Fermi level (states/eV/f.u.): 1.59

---

First-principles (PBE) data for crystalline BaCr2Ni at its relaxed geometry, as listed in Alexandria.

```
4
Lattice="3.315 0.000 0.000 0.000 3.315 0.000 0.000 0.000 7.233" Properties=species:S:1:pos:R:3 pbc="T T T"
Ba 0.000 0.000 0.000
Cr 1.658 1.658 2.679
Cr 1.658 1.658 4.554
Ni 0.000 0.000 3.616
```

## Properties
Offset from the most stable computed form (eV/f.u.): 1.183
DFT formation energy (kcal/mol of atoms): 17.275
DFT total energy (eV/atom): -5.989
Density of states at the Fermi level (states/eV/f.u.): 5.47